# Rb2VI4, relaxed, DFT PBE-GGA
# M_tot: 3.000 μB per formula unit
# formation energy without anion corrections: -6.86 eV per formula unit
# N(E_F): 4.1 states/eV per cell
data_Rb2VI4
_space_group_name_H-M_alt 'I 4/m m m'
_space_group_IT_number 139
_space_group_name_Hall '-I 4 2'
_cell_length_a 5.7357
_cell_length_b 5.7357
_cell_length_c 18.3321
_cell_angle_alpha 90.00
_cell_angle_beta 90.00
_cell_angle_gamma 90.00
loop_
_atom_site_label
_atom_site_fract_x
_atom_site_fract_y
_atom_site_fract_z
Rb1 0.0000 0.0000 0.1401
V1 0.0000 0.0000 0.5000
I1 0.0000 0.0000 0.3432
I2 0.0000 0.5000 0.0000